Below is crystalline Al2WCl at its relaxed geometry, with properties calculated at the PBE level.

Results
The calculation puts the electronic total energy at -4.759 eV/atom. The volume comes out at 273 Å³/cell. The value obtained for the formation energy without anion corrections is 812 meV/atom. For the density of states at the Fermi level, the calculation gives 2.8 states/eV/f.u. The polymorph energy (0 for the lowest one) comes out at 943 meV/atom.

abc: 6.4896 6.4896 6.4896
angles: 90.00 90.00 90.00
Closest atoms and distances in Å follow each position.
Space group Fm-3m (No. 225)
Asymmetric unit:
Al: 0.2500 0.2500 0.2500 (multiplicity 8)  4 Cl 2.81, 4 W 2.81
W: 0.0000 0.0000 0.0000 (multiplicity 4)  8 Al 2.81
Cl: 0.0000 0.0000 0.5000 (multiplicity 4)  8 Al 2.81


Below is crystalline Sr8Ga2Ir at its relaxed geometry, with properties calculated at the PBE level.

Results
The calculation puts the electronic total energy at -2.745 eV/atom. The volume comes out at 809 Å³/cell. For the density of states at the Fermi level, the calculation gives 11.8 states/eV/f.u. As for the formation energy: -0.166 eV/atom.

abc: 19.8476 5.6379 7.5380
angles: 90.00 106.50 90.00
Closest atoms and distances in Å follow each position.
Space group C2/m (No. 12)
Asymmetric unit:
Sr: 0.0308 0.0000 0.3043 (multiplicity 4)  1 Ga 3.31, 2 Ir 3.32, 3 Sr 3.50-3.69
Sr: 0.0906 0.5000 0.9121 (multiplicity 4)  1 Ir 3.12
Sr: 0.1537 0.5000 0.4562 (multiplicity 4)  1 Ir 3.16, 3 Ga 3.44-3.50
Sr: 0.2129 0.0000 0.8087 (multiplicity 4)  3 Ga 3.27-3.51
Ga: 0.1851 0.0000 0.2168 (multiplicity 4)  7 Sr 3.27-3.51
Ir: 0.0000 0.5000 0.5000 (multiplicity 2)  8 Sr 3.12-3.32


Below is crystalline VWS3 at its relaxed geometry, with properties calculated at the PBE level.

Results
The calculation puts the electronic total energy at -6.204 eV/atom. The volume comes out at 94 Å³/cell. The value obtained for the formation energy without anion corrections is 687 meV/atom. For the density of states at the Fermi level, the calculation gives 2.7 states/eV/f.u. The polymorph energy (0 for the lowest one) comes out at 353 meV/atom.

abc: 4.5441 4.5441 4.5441
angles: 90.00 90.00 90.00
Closest atoms and distances in Å follow each position.
Space group Pm-3m (No. 221)
Asymmetric unit:
V: 0.0000 0.0000 0.0000 (multiplicity 1)  6 S 2.27
W: 0.5000 0.5000 0.5000 (multiplicity 1)  12 S 3.21
S: 0.0000 0.0000 0.5000 (multiplicity 3)  2 V 2.27


Below is crystalline CePt4Au8 at its relaxed geometry, with properties calculated at the PBE level.

Results
The calculation puts the electronic total energy at -4.562 eV/atom. The volume comes out at 494 Å³/cell. For the density of states at the Fermi level, the calculation gives 11.5 states/eV/f.u. As for the formation energy: -0.230 eV/atom.

abc: 9.3281 9.3281 5.6738
angles: 90.00 90.00 90.00
Closest atoms and distances in Å follow each position.
Space group I4/mmm (No. 139)
Asymmetric unit:
Ce: 0.0000 0.0000 0.0000 (multiplicity 2)  12 Au 3.13-3.49
Pt: 0.2500 0.2500 0.2500 (multiplicity 8)  8 Au 2.75-2.84, 2 Pt 2.84
Au: 0.0000 0.2173 0.5000 (multiplicity 8)  4 Pt 2.75, 6 Au 2.87-3.05
Au: 0.0000 0.3354 0.0000 (multiplicity 8)  4 Pt 2.84, 5 Au 3.04-3.07, 1 Ce 3.13